13
Lattice="-0.3733 -6.5153 2.2555 -1.4422 -2.8985 -8.6117 8.0964 1.8077 2.9501" Properties=species:S:1:pos:R:3 comment="Pm3Pr2Sm8 (GGA-PBE, optimized geometry)" ef_mev_per_atom=247 pbc="T T T"
Sm 6.0743 -0.5185 -0.8427
Pm -0.1866 -3.2577 1.1277
Pm -1.1976 -2.4070 -7.1512
Sm 5.7455 -2.9093 1.7813
Sm 1.0531 -3.6564 -2.0958
Sm 5.2278 -3.9499 -1.3104
Pr 3.4092 -5.9124 -3.4953
Sm 0.2066 -7.0877 -2.5634
Sm 2.7555 -5.0245 1.2297
Sm 0.5354 -4.6970 -5.1875
Pr 2.8717 -1.6938 0.0892
Sm 3.5254 -2.5818 -4.6358
Pm -0.2446 -0.4916 -1.4605



10
Lattice="-2.7301 -2.4703 0.1618 3.5770 -3.4846 7.1551 -3.1763 6.8222 8.5975" Properties=species:S:1:pos:R:3 comment="Pm3PrSm (GGA-PBE, optimized geometry)" ef_mev_per_atom=31 pbc="T T T"
Pr -0.6414 -1.7455 4.4996
Sm -1.3247 1.7966 5.0791
Pm -3.4098 4.2111 6.7621
Pm 0.5358 -0.0950 7.5909
Pm 1.0805 -3.3438 9.1522
Pm -2.8650 0.9623 8.3234
Pm 2.6610 -2.5532 5.9175
Pm -4.9902 3.4206 9.9969
Sm -1.0046 -0.9292 10.8352
Pr -1.6878 2.6128 11.4148



18
Lattice="15.6454 -0.0059 -0.0114 7.8196 7.8187 -0.0057 0.0037 0.0000 5.2202" Properties=species:S:1:pos:R:3 comment="PmPr12Sm5 (GGA-PBE, optimized geometry)" ef_mev_per_atom=14 pbc="T T T"
Pr 18.2381 2.6030 5.2066
Pr 5.2343 -0.0015 5.2161
Pr 18.2345 7.8143 -0.0130
Sm 15.6462 2.6074 2.5986
Pr 5.2322 2.6038 2.6057
Pr 13.0568 -0.0044 2.6009
Pr 13.0545 2.6060 -0.0093
Pr 13.0538 5.2119 2.6000
Sm 7.8246 -0.0029 2.6044
Sm 7.8226 5.2054 2.6044
Sm 15.6434 5.2124 -0.0114
Pr 10.4150 2.6009 2.6030
Sm 7.8254 2.6003 5.2145
Pr 5.2308 5.2098 -0.0036
Pr 10.4120 7.8172 2.6021
Pr 10.4143 5.2068 5.2123
Pm 0.0001 0.0000 0.0000
Pr 18.2366 5.2090 2.5973



20
Lattice="-5.7980 -3.6634 -7.5808 2.4008 -9.4686 -3.0185 -3.0954 3.7473 10.3283" Properties=species:S:1:pos:R:3 comment="Pm3Pr5Sm2 (GGA-PBE, optimized geometry)" ef_mev_per_atom=169 pbc="T T T"
Sm -3.1728 -3.6176 -2.2889
Pm -2.6484 -3.2228 4.0553
Pr -0.6010 -3.1014 0.4581
Pr -4.2201 0.2109 4.5044
Sm 0.3043 -9.0763 -2.0337
Pr -6.0337 -3.6111 2.9134
Pr -2.4553 -6.9472 -1.0903
Sm -6.7969 -0.3084 1.7628
Pr -0.4589 -5.7735 -3.1844
Pr -6.5441 -4.0385 -3.3824
Pm -3.8442 -6.1618 -4.3262
Sm -3.3198 -5.7670 2.0179
Pm -4.5394 -2.8598 -5.4854
Pm -1.9532 -6.5249 5.2144
Pr 0.0515 -5.3462 3.1115
Pr -2.2725 -9.5955 -4.7754
Pr -4.0373 -2.4374 0.8193
Pm 0.9510 -6.5465 0.0295
Pm -7.4436 -2.8381 -0.3005
Pr -5.8915 -6.2833 -0.7291



12
Lattice="-2.0759 -2.9033 3.7861 9.1140 -4.7645 1.3436 -1.4759 9.2225 2.6835" Properties=species:S:1:pos:R:3 comment="PmPr6Sm5 (GGA-PBE, optimized geometry)" ef_mev_per_atom=13 pbc="T T T"
Sm -0.3564 0.3462 3.6440
Pr 2.9613 0.6052 2.0863
Sm 4.5570 -2.3822 0.6718
Pr -0.2332 6.5786 4.9127
Sm 5.9186 1.2085 4.1692
Sm 1.3624 3.5931 3.4998
Pr -1.9533 3.3302 5.0554
Sm 4.1998 -2.0384 4.3134
Pr 2.6009 0.9495 5.7269
Pr 7.5155 -1.7755 2.7578
Pm 0.0000 0.0000 0.0000
Pr 5.7955 -5.0239 2.9005



4
Lattice="3.5898 0.0000 0.0000 0.0000 5.7078 0.0000 -1.7949 0.0000 6.7801" Properties=species:S:1:pos:R:3 comment="Pm2PrSm (GGA-PBE, optimized geometry)" ef_mev_per_atom=45 pbc="T T T"
Sm 0.0000 0.0000 6.0655
Pr 1.7949 2.8539 4.1260
Pm 0.0000 0.0000 2.5338
Pm 0.0000 2.8539 0.8348



13
Lattice="5.9868 0.0922 1.7170 1.9648 8.3782 2.2840 0.2497 -1.4017 8.7889" Properties=species:S:1:pos:R:3 comment="Pm3Pr2Sm8 (GGA-PBE, optimized geometry)" ef_mev_per_atom=156 pbc="T T T"
Sm 2.5569 3.8985 6.5354
Sm 3.0114 2.3333 9.5871
Sm 4.3530 -0.0370 6.3771
Pr 2.7193 2.0501 3.7992
Pr 5.4820 5.0186 8.9906
Sm 2.1808 5.9049 9.4528
Sm 3.8483 7.1057 6.4128
Sm 5.1899 4.7354 3.2028
Pm 1.5484 6.0041 3.8630
Pm 2.9934 0.0461 0.8585
Sm 6.0205 1.1638 3.3370
Sm 5.6444 3.1702 6.2545
Pm 0.6661 0.9723 7.2098



10
Lattice="5.5048 0.0000 0.0000 0.0000 7.5560 0.0000 0.0000 0.0000 8.4547" Properties=species:S:1:pos:R:3 comment="Pm3PrSm (GGA-PBE, optimized geometry)" ef_mev_per_atom=179 pbc="T T T"
Sm 4.1286 5.6670 3.7346
Pm 1.3762 1.8890 8.0017
Pm 4.1286 5.6670 0.4530
Pm 1.3762 7.2341 2.1332
Pm 4.1286 0.3218 6.3215
Pr 4.1286 1.8890 2.1709
Pm 1.3762 4.0998 2.1332
Pm 4.1286 3.4561 6.3215
Pr 1.3762 5.6670 6.2838
Sm 1.3762 1.8890 4.7201



19
Lattice="-7.0799 -3.7169 -3.9532 -1.2421 -3.0642 8.2847 -3.1637 8.2716 1.0681" Properties=species:S:1:pos:R:3 comment="PmPr6Sm12 (GGA-PBE, optimized geometry)" ef_mev_per_atom=199 pbc="T T T"
Sm -9.3343 -0.0533 2.4018
Sm -6.2381 3.6668 0.8398
Pr -6.4032 3.4414 7.1108
Sm -2.1514 1.5437 2.9977
Pr -9.6908 3.0739 0.2190
Pr -1.7950 -1.5835 5.1805
Sm -4.2383 0.9134 5.8538
Sm -3.7439 1.3657 -0.3407
Sm -8.2660 3.2171 3.7716
Pr -5.0825 -1.9510 -1.7113
Pm 0.0000 0.0000 0.0000
Sm -4.7335 3.8350 3.9939
Sm -5.2476 -2.1763 4.5597
Sm -3.2197 -1.7266 1.6280
Pr -2.8771 4.8003 1.1165
Sm -6.7522 -2.3445 1.4056
Sm -7.7418 0.1248 5.7402
Sm -7.2475 0.5770 -0.4543
Pr -8.6086 -3.3098 4.2831



12
Lattice="-1.3132 7.8831 -3.4063 -2.0819 -8.1722 -2.0029 -5.1553 0.3067 6.9954" Properties=species:S:1:pos:R:3 comment="Pm8PrSm3 (GGA-PBE, optimized geometry)" ef_mev_per_atom=29 pbc="T T T"
Pr -2.8294 -0.2283 -4.4907
Sm -5.0359 2.1220 3.0287
Pm -6.5004 -4.5398 4.3244
Pm -2.8932 -0.6169 1.8358
Sm -3.5076 -2.1287 -1.4641
Pm -2.2134 1.2838 -1.1898
Pm -5.6546 0.6117 -0.2800
Pm -2.0472 4.5317 -2.7682
Pm -5.2087 -1.1449 4.6058
Pm -3.6825 -5.3756 0.1094
Sm -4.3662 4.0103 0.0077
Pm -5.8266 -2.6587 1.2986



20
Lattice="-4.0964 -3.0704 -1.1018 2.3987 -1.6367 -4.3576 11.0185 -19.5060 13.3914" Properties=species:S:1:pos:R:3 comment="Pm4Pr15Sm (GGA-PBE, optimized geometry)" ef_mev_per_atom=13 pbc="T T T"
Pr 1.3539 -6.2531 -0.0525
Pr 2.2992 -2.7654 -0.8421
Pr 6.7086 -10.5713 4.5169
Pr 3.5591 -10.1570 2.6276
Pm 2.2034 -3.9006 2.6779
Pr 7.8704 -19.0941 11.5038
Pr 3.4610 -11.2882 6.1448
Pr 7.9668 -17.9599 7.9845
Pm 8.8151 -15.6054 10.7135
Pr -0.9483 -3.4823 0.7859
Pr 1.2576 -7.3875 3.4669
Pm 6.6107 -11.7030 8.0344
Pr 5.6644 -15.1888 8.8227
Pr -0.8488 -2.3535 -2.7297
Pr 11.1179 -18.3772 9.8758
Sm 0.0000 0.0000 0.0000
Pr 4.5052 -6.6707 1.8390
Pr 5.7616 -14.0560 5.3044
Pr 8.9120 -14.4720 7.1948
Pm 4.4077 -7.8030 5.3570



15
Lattice="10.0459 0.0000 4.5362 5.0229 7.0559 2.2681 2.1192 0.0000 8.6988" Properties=species:S:1:pos:R:3 comment="Pm4PrSm10 (GGA-PBE, optimized geometry)" ef_mev_per_atom=418 pbc="T T T"
Sm 4.1176 2.4206 8.8185
Pm 9.3843 4.6439 6.0013
Sm 10.7546 0.7133 7.5121
Sm 9.8432 6.3426 9.5306
Pm 13.1577 5.4483 11.0367
Sm 10.7538 2.4206 11.8150
Sm 6.4334 6.3426 7.9909
Pr 0.0000 0.0000 0.0000
Pm 4.0303 1.6076 4.4664
Pm 7.8037 2.4120 9.5017
Sm 6.4343 4.6353 3.6880
Sm 6.0825 3.5280 6.6175
Sm 13.0704 4.6353 6.6845
Sm 11.1055 3.5280 8.8856
Sm 7.3448 0.7133 5.9725



What are the total moment values for these records? In order: 0.00; 0.00; 0.00; 0.00; 0.00; 0.00; 0.00; 0.00; 0.00; 0.00; 0.00; 0.00 μB per formula unit.
What are the theoretical density values for these records? In order: 6.768; 6.905; 6.727; 6.718; 6.878; 6.948; 7.082; 6.859; 6.827; 6.991; 6.598; 6.731 g cm⁻³.